Below is an optimized crystal structure of SrRuPt2, with properties calculated at the PBEsol level.

a b c (Å): 3.227 3.227 7.144
angles (deg): 90.00 90.00 90.00
Atoms (fractional coordinates):
Sr (0.000, 0.000, 0.000)
Ru (0.000, 0.000, 0.500)
Pt (0.500, 0.500, 0.309)
Pt (0.500, 0.500, 0.691)

Computed properties:
polymorph energy (0 for the lowest one) = 0.000 eV/atom
calculated formation energy = 0.245 eV/f.u.
calculated density = 12922 kg/m³
density of states at the Fermi level = 4.82 states/eV/f.u.
uncorrected energy = -6.424 eV per atom